# KUZnO5 PBE-GGA optimized geometry
data_KUZnO5
_chemical_formula_sum 'K4 U4 Zn4 O20'
_space_group_name_H-M_alt 'C 1 2/c 1'
_space_group_IT_number 15
_space_group_name_Hall '-C 2yc'
_cell_length_a 7.469
_cell_length_b 9.826
_cell_length_c 8.192
_cell_angle_alpha 90.00
_cell_angle_beta 116.56
_cell_angle_gamma 90.00
loop_
_atom_site_label
_atom_site_fract_x
_atom_site_fract_y
_atom_site_fract_z
K1 0.000 0.171 0.250
U1 0.000 0.500 0.000
Zn1 0.000 0.192 0.750
O1 0.000 0.442 0.250
O2 0.082 0.308 0.599
O3 0.212 0.062 0.896
# **Crystal system**: monoclinic
# **Formation energy without anion corrections**: -2190.6 meV/atom

=====

# K2U3ZnO12 PBE-GGA optimized geometry
data_K2U3ZnO12
_chemical_formula_sum 'K6 U9 Zn3 O36'
_space_group_name_H-M_alt 'R -3 m'
_space_group_IT_number 166
_space_group_name_Hall '-R 3 2"'
_cell_length_a 8.0039
_cell_length_b 8.0039
_cell_length_c 17.8203
_cell_angle_alpha 90.00
_cell_angle_beta 90.00
_cell_angle_gamma 120.00
loop_
_atom_site_label
_atom_site_fract_x
_atom_site_fract_y
_atom_site_fract_z
K1 0.0000 0.0000 0.1526
U1 0.0000 0.5000 0.0000
Zn1 0.0000 0.0000 0.5000
O1 0.0809 0.5405 0.1036
O2 0.0856 0.5428 0.3623
# **Crystal system**: trigonal
# **Formation energy without anion corrections**: -2464.1 meV/atom